No. 1
# AlCl3 GGA-PBE optimized geometry
# formation energy without anion corrections = -0.397 eV/atom
# SG = P-6m2
# DOS at the Fermi energy = 2.73 states/eV/cell
# final energy = -10.87 eV per cell
# crystal system = hexagonal
data_AlCl3
_chemical_formula_sum 'Al1 Cl3'
_cell_length_a 3.444
_cell_length_b 3.444
_cell_length_c 8.021
_cell_angle_alpha 90.00
_cell_angle_beta 90.00
_cell_angle_gamma 120.00
_symmetry_space_group_name_H-M 'P 1'
_symmetry_Int_Tables_number 1
_symmetry_space_group_name_Hall 'P 1'
loop_
_atom_site_label
_atom_site_type_symbol
_atom_site_fract_x
_atom_site_fract_y
_atom_site_fract_z
Cl1 Cl 0.667 0.333 0.808
Cl2 Cl 0.000 0.000 0.500
Cl3 Cl 0.667 0.333 0.192
Al1 Al 0.000 0.000 0.000

No. 2
# Al7Cl GGA-PBE optimized geometry
# formation energy without anion corrections = 0.188 eV/atom
# SG = Fm-3m
# DOS at the Fermi energy = 5.62 states/eV/cell
# final energy = -26.54 eV per cell
# crystal system = cubic
data_Al7Cl
_chemical_formula_sum 'Al7 Cl1'
_cell_length_a 5.899
_cell_length_b 5.899
_cell_length_c 5.899
_cell_angle_alpha 60.00
_cell_angle_beta 60.00
_cell_angle_gamma 60.00
_symmetry_space_group_name_H-M 'P 1'
_symmetry_Int_Tables_number 1
_symmetry_space_group_name_Hall 'P 1'
loop_
_atom_site_label
_atom_site_type_symbol
_atom_site_fract_x
_atom_site_fract_y
_atom_site_fract_z
Al1 Al 0.000 0.500 0.000
Al2 Al 0.500 0.000 0.500
Al3 Al 0.500 0.500 0.000
Al4 Al 0.500 0.000 0.000
Cl1 Cl 0.000 0.000 0.000
Al5 Al 0.500 0.500 0.500
Al6 Al 0.000 0.000 0.500
Al7 Al 0.000 0.500 0.500

No. 3
# AlCl3 GGA-PBE optimized geometry
# formation energy without anion corrections = -0.008 eV/atom
# SG = R-3m
# DOS at the Fermi energy = 5.94 states/eV/cell
# final energy = -9.31 eV per cell
# crystal system = trigonal
data_AlCl3
_chemical_formula_sum 'Al1 Cl3'
_cell_length_a 4.959
_cell_length_b 4.959
_cell_length_c 4.959
_cell_angle_alpha 109.76
_cell_angle_beta 109.76
_cell_angle_gamma 109.76
_symmetry_space_group_name_H-M 'P 1'
_symmetry_Int_Tables_number 1
_symmetry_space_group_name_Hall 'P 1'
loop_
_atom_site_label
_atom_site_type_symbol
_atom_site_fract_x
_atom_site_fract_y
_atom_site_fract_z
Cl1 Cl 0.500 0.000 0.500
Cl2 Cl 0.000 0.500 0.500
Cl3 Cl 0.500 0.500 0.000
Al1 Al 0.000 0.000 0.000

No. 4
# AlCl2 GGA-PBE optimized geometry
# formation energy without anion corrections = -0.541 eV/atom
# SG = I4/mmm
# DOS at the Fermi energy = 1.32 states/eV/cell
# final energy = -9.06 eV per cell
# crystal system = tetragonal
data_AlCl2
_chemical_formula_sum 'Al1 Cl2'
_cell_length_a 7.240
_cell_length_b 7.240
_cell_length_c 7.240
_cell_angle_alpha 153.62
_cell_angle_beta 153.62
_cell_angle_gamma 37.65
_symmetry_space_group_name_H-M 'P 1'
_symmetry_Int_Tables_number 1
_symmetry_space_group_name_Hall 'P 1'
loop_
_atom_site_label
_atom_site_type_symbol
_atom_site_fract_x
_atom_site_fract_y
_atom_site_fract_z
Al1 Al 0.000 0.000 0.000
Cl1 Cl 0.391 0.391 0.000
Cl2 Cl 0.609 0.609 0.000

No. 5
# Al3Cl GGA-PBE optimized geometry
# energy above the lowest structure with this stoichiometry = 0.100 eV per atom
# formation energy without anion corrections = -0.025 eV/atom
# SG = Cmmm
# DOS at the Fermi energy = 0.73 states/eV/cell
# final energy = -13.17 eV per cell
# crystal system = orthorhombic
data_Al3Cl
_chemical_formula_sum 'Al3 Cl1'
_cell_length_a 3.087
_cell_length_b 3.087
_cell_length_c 8.809
_cell_angle_alpha 90.00
_cell_angle_beta 90.00
_cell_angle_gamma 118.76
_symmetry_space_group_name_H-M 'P 1'
_symmetry_Int_Tables_number 1
_symmetry_space_group_name_Hall 'P 1'
loop_
_atom_site_label
_atom_site_type_symbol
_atom_site_fract_x
_atom_site_fract_y
_atom_site_fract_z
Cl1 Cl 0.500 0.500 0.250
Al1 Al 0.500 0.500 0.750
Al2 Al 0.000 0.000 0.006
Al3 Al 0.000 0.000 0.494

No. 6
# AlCl5 GGA-PBE optimized geometry
# energy above the lowest structure with this stoichiometry = 0.505 eV per atom
# formation energy without anion corrections = -0.419 eV/atom
# SG = Cmmm
# DOS at the Fermi energy = 2.43 states/eV/cell
# final energy = -15.49 eV per cell
# crystal system = orthorhombic
data_AlCl5
_chemical_formula_sum 'Al1 Cl5'
_cell_length_a 10.242
_cell_length_b 10.242
_cell_length_c 5.510
_cell_angle_alpha 90.00
_cell_angle_beta 90.00
_cell_angle_gamma 162.36
_symmetry_space_group_name_H-M 'P 1'
_symmetry_Int_Tables_number 1
_symmetry_space_group_name_Hall 'P 1'
loop_
_atom_site_label
_atom_site_type_symbol
_atom_site_fract_x
_atom_site_fract_y
_atom_site_fract_z
Cl1 Cl 0.919 0.081 0.000
Al1 Al 0.500 0.500 0.000
Cl2 Cl 0.302 0.698 0.500
Cl3 Cl 0.698 0.302 0.500
Cl4 Cl 0.081 0.919 0.000
Cl5 Cl 0.000 0.000 0.500